(1)
Density functional theory data (PBE) for an optimized crystal structure of NiHg2PCl.

Summary:
- Symmetry: No. 123
- Uncorrected energy: -11.19 eV per cell
- Formation energy from raw total energies: 237 kJ/mol of formula units

Geometry as extended XYZ:
```
5
Lattice="-0.8260 5.1568 -0.2501 -3.5803 -0.4736 2.0605 2.5270 0.6247 4.5344" Properties=species:S:1:pos:R:3 pbc="T T T"
Ni 0.0000 0.0000 0.0000
Hg 1.2635 0.3123 2.2672
Hg -0.4130 2.5784 -0.1250
P -0.9396 2.6539 3.1724
Cl -1.7901 -0.2368 1.0303
```

***

(2)
Density functional theory data (PBE) for an optimized crystal structure of NiHgSCl2.

Summary:
- Symmetry: No. 123
- Uncorrected energy: -14.07 eV per cell
- Excess energy over the best structure of this formula in the dataset: 0.0000 eV per atom
- Formation energy from raw total energies: -16 kJ/mol of formula units

Geometry as extended XYZ:
```
5
Lattice="4.5415 0.0000 0.0000 0.0000 4.5415 0.0000 0.0000 0.0000 4.8508" Properties=species:S:1:pos:R:3 pbc="T T T"
Ni 0.0000 0.0000 0.0000
Cl 0.0000 2.2707 0.0000
Cl 2.2707 0.0000 0.0000
S 0.0000 0.0000 2.4254
Hg 2.2707 2.2707 2.4254
```

***

(3)
Density functional theory data (PBE) for an optimized crystal structure of NiHgSbCl2.

Summary:
- Symmetry: No. 123
- Uncorrected energy: -11.65 eV per cell
- Formation energy from raw total energies: 217 kJ/mol of formula units

Geometry as extended XYZ:
```
5
Lattice="-4.8668 1.1829 1.5349 1.2026 -2.0459 5.3899 1.6158 4.7676 1.4492" Properties=species:S:1:pos:R:3 pbc="T T T"
Cl 0.8079 2.3838 0.7246
Cl -2.4334 0.5914 0.7674
Ni -1.0242 1.9523 4.1870
Sb 0.0000 0.0000 0.0000
Hg 0.6013 -1.0230 2.6950
```

***

(4)
Density functional theory data (PBE) for an optimized crystal structure of Tl2NiHgCl6.

Summary:
- Symmetry: No. 139
- Uncorrected energy: -57.77 eV per cell
- Formation energy from raw total energies: -674 kJ/mol of formula units

Geometry as extended XYZ:
```
20
Lattice="-3.1531 3.3316 5.4739 -3.9506 -5.8157 1.2639 7.1765 -3.5120 6.2714" Properties=species:S:1:pos:R:3 pbc="T T T"
Tl 0.8441 -5.3290 8.3885
Tl 4.3936 -4.0889 5.0195
Tl 0.8061 -2.3333 1.8844
Tl -2.7449 -3.5726 5.2522
Cl 2.6796 -2.3533 7.6348
Cl -4.6248 -4.9421 2.5247
Cl 1.2100 0.5957 7.1742
Cl 0.8373 -3.6835 5.2043
Cl 2.6859 -0.9638 4.6119
Cl -0.6305 -0.7334 4.7422
Cl -6.3020 -3.1700 5.4363
Cl -4.4547 -0.4489 4.8462
Cl 2.5581 -7.0646 5.7732
Cl -1.3084 -5.1724 2.3944
Cl -0.6373 -2.1254 7.7643
Cl -2.7762 -2.2224 1.9323
Ni 1.0242 -1.5440 6.1886
Ni -2.9630 -4.3619 0.9480
Hg -2.5644 0.2116 3.0530
Hg 0.6255 -6.1175 4.0836
```

***

(5)
Density functional theory data (PBE) for an optimized crystal structure of VNiHg2Cl.

Summary:
- Symmetry: No. 123
- Uncorrected energy: -13.07 eV per cell
- Formation energy from raw total energies: 413 kJ/mol of formula units

Geometry as extended XYZ:
```
5
Lattice="-2.4638 4.6427 -2.4680 -2.9710 -0.1628 2.6596 2.9933 3.4793 3.5568" Properties=species:S:1:pos:R:3 pbc="T T T"
Cl 0.0000 0.0000 0.0000
Ni -1.4855 -0.0814 1.3298
Hg 1.4967 1.7396 1.7784
Hg -1.2319 2.3214 -1.2340
V -1.2207 3.9796 1.8742
```

***

(6)
Density functional theory data (PBE) for an optimized crystal structure of NpHg2Cl8.

Summary:
- Symmetry: No. 12
- Uncorrected energy: -39.31 eV per cell
- Excess energy over the best structure of this formula in the dataset: 0.0132 eV per atom
- Formation energy from raw total energies: -1060 kJ/mol of formula units

Geometry as extended XYZ:
```
11
Lattice="6.5811 -0.1903 -0.1330 0.7141 7.4604 -1.3948 0.7141 1.2578 7.4847" Properties=species:S:1:pos:R:3 pbc="T T T"
Cl 2.3076 4.8500 3.3878
Cl 2.1654 5.4882 -0.6015
Cl 5.8439 3.0397 6.5585
Cl 2.1654 1.3239 5.3600
Cl 6.3907 6.7165 4.6916
Cl 5.7017 3.6779 2.5691
Cl 1.6186 1.8114 1.2653
Cl 5.8439 7.2040 0.5969
Hg 3.8577 2.5153 1.7570
Hg 4.1516 6.0126 4.2000
Np 0.0000 0.0000 0.0000
```

***

(7)
Density functional theory data (PBE) for an optimized crystal structure of NpHgCl6.

Summary:
- Symmetry: No. 2
- Uncorrected energy: -33.91 eV per cell
- Excess energy over the best structure of this formula in the dataset: 0.0000 eV per atom
- Formation energy from raw total energies: -925 kJ/mol of formula units

Geometry as extended XYZ:
```
8
Lattice="-0.2775 -6.7741 0.8680 6.4037 0.9982 -2.2290 -2.0549 1.7046 6.6685" Properties=species:S:1:pos:R:3 pbc="T T T"
Cl 3.0428 0.1413 3.5274
Cl -0.3130 -0.9585 2.7550
Cl 2.1913 -1.0890 0.0613
Cl 1.8799 -2.9823 5.2462
Cl 1.0285 -4.2126 1.7801
Cl 4.3843 -3.1128 2.5525
Np 2.0356 -2.0356 2.6538
Hg 0.0000 0.0000 0.0000
```

***

(8)
Density functional theory data (PBE) for an optimized crystal structure of NpHg2Cl6.

Summary:
- Symmetry: No. 15
- Uncorrected energy: -69.00 eV per cell
- Formation energy from raw total energies: -953 kJ/mol of formula units

Geometry as extended XYZ:
```
18
Lattice="-2.8593 3.7551 4.6730 6.9632 -3.3513 6.7270 5.4739 8.0035 -3.3089" Properties=species:S:1:pos:R:3 pbc="T T T"
Cl 5.4725 2.7023 9.4080
Cl 4.1053 5.7051 -1.3170
Cl 5.5645 7.0305 4.8306
Cl -1.2367 3.3657 5.2151
Cl 10.8145 5.0417 2.8759
Cl 5.9788 7.8651 0.8490
Cl 3.5991 0.5423 7.2421
Cl 2.2874 5.5134 3.6004
Cl 7.2904 2.8940 4.4907
Cl 4.0134 1.3769 3.2604
Cl 9.5426 5.7166 6.2753
Cl 0.0352 2.6908 1.8157
Np 4.8734 8.0705 -1.3701
Np 4.7044 0.3369 9.4611
Hg 6.4078 4.0455 1.1899
Hg 5.2923 3.5283 5.6430
Hg 4.2855 4.8791 2.4480
Hg 3.1700 4.3619 6.9011
```

***

(9)
Density functional theory data (PBE) for an optimized crystal structure of NpHg2Cl8.

Summary:
- Symmetry: No. 12
- Uncorrected energy: -39.45 eV per cell
- Excess energy over the best structure of this formula in the dataset: 0.0000 eV per atom
- Formation energy from raw total energies: -1074 kJ/mol of formula units

Geometry as extended XYZ:
```
11
Lattice="7.1419 0.0000 0.0000 -3.5710 6.0409 -1.5644 0.0000 -0.7190 9.8777" Properties=species:S:1:pos:R:3 pbc="T T T"
Cl 3.5710 1.5316 4.2593
Cl 0.0000 3.7903 4.0540
Cl -1.8058 3.6030 7.6441
Cl 5.3768 1.7189 0.6692
Cl 1.7651 1.7188 0.6692
Cl 1.8058 3.6030 7.6441
Cl 3.5709 5.3360 1.1608
Cl 0.0000 -0.0141 7.1525
Np 0.0000 0.0000 0.0000
Hg 3.5710 3.6695 5.1386
Hg 0.0000 1.6523 3.1747
```

***

(10)
Density functional theory data (PBE) for an optimized crystal structure of Np2Hg2Cl7.

Summary:
- Symmetry: No. 12
- Uncorrected energy: -53.79 eV per cell
- Formation energy from raw total energies: -1387 kJ/mol of formula units

Geometry as extended XYZ:
```
11
Lattice="-2.8949 1.4076 -8.5312 -6.1335 -2.9556 2.2180 -4.1615 5.0698 2.8729" Properties=species:S:1:pos:R:3 pbc="T T T"
Hg -6.0255 4.0785 -1.5310
Hg -7.1644 -0.5567 -1.9093
Cl -4.9500 1.1583 0.7112
Cl -5.7885 0.0278 -5.6995
Cl -4.9320 3.5136 -5.4150
Cl 0.0000 0.0000 0.0000
Cl -7.4014 3.4940 2.2591
Cl -8.2579 0.0083 1.9746
Cl -8.2400 2.3636 -4.1515
Np -2.5402 0.5454 0.9655
Np -10.6497 2.9764 -4.4059
```

***

(11)
Density functional theory data (PBE) for an optimized crystal structure of Np2HgCl7.

Summary:
- Symmetry: No. 65
- Uncorrected energy: -53.74 eV per cell
- Formation energy from raw total energies: -1412 kJ/mol of formula units

Geometry as extended XYZ:
```
10
Lattice="5.4103 0.0000 0.0000 0.0000 7.3791 -4.0268 0.0000 -0.2754 8.2699" Properties=species:S:1:pos:R:3 pbc="T T T"
Cl 2.7051 0.1153 5.6938
Cl 2.7051 4.7260 3.1777
Cl 0.0000 2.0954 3.8398
Cl 2.7051 6.9885 -1.4507
Cl 2.7051 2.3778 1.0653
Cl 2.7051 3.6896 -2.0134
Cl 0.0000 5.0084 0.4033
Np 2.7051 5.0096 0.4055
Np 2.7051 2.0942 3.8376
Hg 0.0000 0.0000 0.0000
```

***

(12)
Density functional theory data (PBE) for an optimized crystal structure of NpHgCl5.

Summary:
- Symmetry: No. 2
- Uncorrected energy: -62.94 eV per cell
- Formation energy from raw total energies: -868 kJ/mol of formula units

Geometry as extended XYZ:
```
14
Lattice="-6.3239 1.6173 4.1141 -3.7858 -5.6293 -1.9218 -0.7550 -5.7192 8.0524" Properties=species:S:1:pos:R:3 pbc="T T T"
Np -3.5395 -2.0509 6.0832
Np 0.0000 0.0000 0.0000
Cl -8.0222 -5.1171 3.4966
Cl -9.3966 -7.8394 9.5166
Cl -6.2427 -6.6697 6.2628
Cl -2.8426 -4.6140 6.7480
Cl -1.4682 -1.8917 0.7281
Cl -4.4774 -4.2654 0.3288
Cl -5.2055 -7.3088 2.8160
Cl -4.6221 -3.0615 3.9819
Cl -5.6592 -2.4223 7.4287
Cl -6.3874 -5.4657 9.9158
Hg -3.1605 -5.1268 2.2762
Hg -7.7043 -4.6043 7.9685
```

***

(13)
Density functional theory data (PBE) for an optimized crystal structure of NpHgCl3.

Summary:
- Symmetry: No. 221
- Uncorrected energy: -25.18 eV per cell
- Excess energy over the best structure of this formula in the dataset: 0.0705 eV per atom
- Formation energy from raw total energies: -617 kJ/mol of formula units

Geometry as extended XYZ:
```
5
Lattice="-1.8688 -2.8364 -4.3008 5.0324 -1.9845 -0.8780 -1.1029 -4.2486 3.2813" Properties=species:S:1:pos:R:3 pbc="T T T"
Cl -0.9344 -1.4182 -2.1504
Cl -0.5514 -2.1243 1.6407
Cl 2.5162 -0.9922 -0.4390
Hg 1.0303 -4.5348 -0.9487
Np 0.0000 0.0000 0.0000
```

***

(14)
Density functional theory data (PBE) for an optimized crystal structure of NpHgCl6.

Summary:
- Symmetry: No. 148
- Uncorrected energy: -33.88 eV per cell
- Excess energy over the best structure of this formula in the dataset: 0.0033 eV per atom
- Formation energy from raw total energies: -923 kJ/mol of formula units

Geometry as extended XYZ:
```
8
Lattice="-5.4745 3.3938 1.7893 -5.8362 -1.2339 -3.0186 -5.0413 -3.5421 3.7878" Properties=species:S:1:pos:R:3 pbc="T T T"
Cl -10.3359 -2.1631 1.3220
Cl -9.6368 1.4210 0.7909
Cl -7.9376 -1.1309 -1.2870
Cl -6.7152 -2.8032 1.7676
Cl -8.4143 -0.2513 3.8456
Cl -6.0160 0.7809 1.2365
Np -8.1760 -0.6911 1.2793
Hg 0.0000 0.0000 0.0000
```

***

(15)
Density functional theory data (PBE) for an optimized crystal structure of NpHgCl4.

Summary:
- Symmetry: No. 12
- Uncorrected energy: -56.16 eV per cell
- Formation energy from raw total energies: -719 kJ/mol of formula units

Geometry as extended XYZ:
```
12
Lattice="-1.0610 4.9472 6.1151 -7.0753 -0.1462 -1.1093 -0.1532 -3.7507 8.1586" Properties=species:S:1:pos:R:3 pbc="T T T"
Hg -2.5146 2.5399 7.8105
Hg -5.7749 -1.4896 5.3540
Cl -6.4254 0.9259 8.4378
Cl -3.8550 0.7832 11.0168
Cl -4.8500 2.2050 4.5431
Cl -0.7573 3.5312 4.3648
Cl -4.4344 0.2671 2.1477
Cl -0.3037 1.4160 1.7503
Cl -3.4394 -1.1547 8.6214
Cl -1.8640 0.1244 4.7267
Np -2.5697 1.9175 3.1536
Np -5.7197 -0.8672 10.0109
```

***

(16)
Density functional theory data (PBE) for an optimized crystal structure of NpHgCl3.

Summary:
- Symmetry: No. 2
- Uncorrected energy: -51.06 eV per cell
- Excess energy over the best structure of this formula in the dataset: 0.0000 eV per atom
- Formation energy from raw total energies: -651 kJ/mol of formula units

Geometry as extended XYZ:
```
10
Lattice="-5.1026 -0.2361 -5.0786 -5.7712 -4.2026 0.8293 -8.4062 5.9723 2.9481" Properties=species:S:1:pos:R:3 pbc="T T T"
Cl -13.0220 3.1710 -0.6318
Cl -9.7042 -3.2105 -1.7035
Cl -9.5757 4.7441 0.4023
Cl -11.3041 2.1897 2.7880
Cl -7.9758 -0.6562 -4.0892
Cl -6.2580 -1.6374 -0.6694
Np -15.6436 3.0072 0.1078
Np -3.6364 -1.4737 -1.4090
Hg -12.8784 -0.6744 -1.9957
Hg -6.4016 2.2079 0.6945
```

***

(17)
Density functional theory data (PBE) for an optimized crystal structure of NpHgClO4.

Summary:
- Symmetry: No. 12
- Uncorrected energy: -90.17 eV per cell
- Formation energy from raw total energies: -980 kJ/mol of formula units

Geometry as extended XYZ:
```
14
Lattice="0.1147 5.3990 1.3022 -4.6160 0.7488 2.9983 4.4892 -1.2786 9.0161" Properties=species:S:1:pos:R:3 pbc="T T T"
O -0.6122 3.5073 7.9088
O 0.1531 2.5878 2.0948
O -1.3292 2.9691 4.4333
O 1.3171 1.9001 8.8833
O -0.1652 2.2814 11.2218
O 0.6001 1.3618 5.4077
O -1.7047 0.7616 2.7608
O 1.6926 4.1075 10.5558
Np 0.1915 3.2791 9.5248
Np -0.2036 1.5901 3.7918
Cl 1.3698 -0.3299 2.9161
Cl -1.3819 5.1991 10.4004
Hg -3.0446 4.7008 4.3963
Hg 3.0325 0.1683 8.9202
```

***

(18)
Density functional theory data (PBE) for an optimized crystal structure of NpHgPbCl6.

Summary:
- Symmetry: No. 163
- Uncorrected energy: -79.25 eV per cell
- Formation energy from raw total energies: -1119 kJ/mol of formula units

Geometry as extended XYZ:
```
18
Lattice="7.3608 0.0000 0.0000 -3.6804 6.3747 0.0000 0.0000 0.0000 16.8191" Properties=species:S:1:pos:R:3 pbc="T T T"
Np 0.0000 4.2498 12.6143
Np 3.6804 2.1249 4.2048
Pb 3.6804 2.1249 12.6143
Pb 0.0000 4.2498 4.2048
Hg 0.0000 0.0000 0.0000
Hg 0.0000 0.0000 8.4095
Cl 1.1959 2.4541 14.1107
Cl 4.8764 3.9206 5.7012
Cl -2.1531 4.1119 14.1107
Cl 1.5273 2.2627 5.7012
Cl 2.1531 4.1119 11.1179
Cl 0.9572 6.1834 14.1107
Cl 2.7233 0.1913 2.7083
Cl 4.6376 0.1913 5.7012
Cl -0.9572 6.1834 11.1179
Cl 5.8335 2.2627 2.7083
Cl 2.4845 3.9206 2.7083
Cl -1.1959 2.4541 11.1179
```

***

(19)
Density functional theory data (PBE) for an optimized crystal structure of RbNp3Hg2Cl12.

Summary:
- Symmetry: No. 166
- Uncorrected energy: -89.42 eV per cell
- Formation energy from raw total energies: -2592 kJ/mol of formula units

Geometry as extended XYZ:
```
18
Lattice="10.0298 -0.1789 -0.1269 4.7977 8.8097 -0.1269 4.7977 2.7927 8.3563" Properties=species:S:1:pos:R:3 pbc="T T T"
Cl 11.9312 3.2016 2.2709
Cl 4.4823 2.6091 5.0043
Cl 12.5548 10.2843 7.2946
Cl 7.0704 1.1392 0.8080
Cl 8.6762 5.0503 7.5485
Cl 10.9489 2.6299 5.8317
Cl 15.1429 8.8144 3.0983
Cl 7.6939 8.2218 5.8317
Cl 8.6762 8.7936 2.2709
Cl 10.9489 6.3732 0.5541
Cl 4.4823 5.5855 0.8080
Cl 15.1429 5.8380 7.2946
Np 2.3988 1.3963 4.1782
Np 2.3988 4.4049 -0.0634
Np 5.0149 -0.0894 -0.0634
Hg 7.8696 4.5807 3.2491
Hg 11.7556 6.8427 4.8535
Rb 0.0000 0.0000 0.0000
```

***

(20)
Density functional theory data (PBE) for an optimized crystal structure of RbNpHgCl6.

Summary:
- Symmetry: No. 149
- Uncorrected energy: -38.05 eV per cell
- Formation energy from raw total energies: -1231 kJ/mol of formula units

Geometry as extended XYZ:
```
9
Lattice="-2.2679 -2.2666 5.4960 7.2776 0.7741 3.3223 -5.2428 6.0823 0.3450" Properties=species:S:1:pos:R:3 pbc="T T T"
Rb -1.0693 4.3129 1.3374
Cl 2.7771 4.6348 5.0681
Cl 4.7482 -0.0307 3.9574
Cl 0.2533 -1.4285 4.8713
Cl -0.0700 1.1705 2.4646
Cl -0.1310 3.4057 6.7064
Cl 4.2435 0.7096 7.3996
Np -1.1340 -1.1333 2.7480
Hg 1.9702 1.4102 5.0779
```

***

(21)
Density functional theory data (PBE) for an optimized crystal structure of NpSnHg2Cl6.

Summary:
- Symmetry: No. 59
- Uncorrected energy: -77.95 eV per cell
- Formation energy from raw total energies: -999 kJ/mol of formula units

Geometry as extended XYZ:
```
20
Lattice="7.7668 0.0000 0.0000 0.0000 7.7600 0.0000 0.0000 0.0000 10.9788" Properties=species:S:1:pos:R:3 pbc="T T T"
Hg 3.8834 5.8030 8.2379
Hg 3.8834 5.8030 2.7409
Hg 0.0000 1.9571 2.7485
Hg 0.0000 1.9571 8.2303
Cl 3.8834 1.9223 2.8639
Cl 1.8537 3.9773 0.0000
Cl 5.9100 7.6925 0.0000
Cl 1.8568 7.6925 0.0000
Cl 5.9131 3.9773 0.0000
Cl 3.8834 1.9223 8.1149
Cl 5.7402 0.0675 5.4894
Cl 5.7371 3.7827 5.4894
Cl 0.0000 5.8377 8.3533
Cl 0.0000 5.8377 2.6255
Cl 2.0266 0.0675 5.4894
Cl 2.0297 3.7827 5.4894
Np 0.0000 5.8327 0.0000
Np 3.8834 1.9273 5.4894
Sn 0.0000 5.8161 5.4894
Sn 3.8834 1.9439 0.0000
```